{
  "formula": "PrScB2O6",
  "functional": "PBE",
  "state": "relaxed",
  "lattice": [[2.4960, 1.4411, 5.5236], [-2.4960, 1.4411, 5.5236], [0.0000, -2.8821, 5.5236]],
  "species": ["Pr", "Sc", "B", "B", "O", "O", "O", "O", "O", "O"],
  "fractional_positions": [[0.0000, 0.0000, 0.0000], [0.5000, 0.5000, 0.5000], [0.2419, 0.2419, 0.2419], [0.7581, 0.7581, 0.7581], [0.0503, 0.7194, 0.4983], [0.2806, 0.5017, 0.9497], [0.4983, 0.0503, 0.7194], [0.5017, 0.9497, 0.2806], [0.7194, 0.4983, 0.0503], [0.9497, 0.2806, 0.5017]],
  "magnetic_moment_mub_per_fu": 0.00,
  "dft_energy_ev_per_atom": -8.442,
  "raw_formation_energy_ev_per_atom": -3.020,
  "space_group": "R-3",
  "dos_at_fermi_per_ev_cell": 0.000
}